# KYTa2 | the Alexandria database | GGA-PBE | optimized geometry
data_KYTa2
_chemical_formula_sum 'K1 Y1 Ta2'
_cell_length_a 2.962
_cell_length_b 2.962
_cell_length_c 11.496
_cell_angle_alpha 90.00
_cell_angle_beta 90.00
_cell_angle_gamma 90.00
_symmetry_space_group_name_H-M 'P 4/m m m'
_symmetry_Int_Tables_number 123
_symmetry_space_group_name_Hall '-P 4 2'
loop_
_atom_site_label
_atom_site_type_symbol
_atom_site_fract_x
_atom_site_fract_y
_atom_site_fract_z
K1 K 0.000 0.000 0.000
Y1 Y 0.000 0.000 0.500
Ta1 Ta 0.500 0.500 0.285
# energy	-0.252	hartree per atom
# polymorph energy (0 for the lowest one)	0.431	eV per atom
# formation energy from the elements	3.81	eV/f.u.